*P*
## SrZrIO2 (PBE)

Data for a relaxed structure of SrZrIO2.

abc: 4.3068 4.3068 5.9714
angles: 90.00 90.00 90.00
Last column: nearest neighbours and their distance in Å.
Positions (direct):
Sr1 0.0000 0.0000 0.0000  4 I 3.05
Zr1 0.5000 0.5000 0.5000  4 O 2.15
I1 0.5000 0.5000 0.0000  2 Zr 2.99, 4 Sr 3.05
O1 0.0000 0.5000 0.5000  2 Zr 2.15
O2 0.5000 0.0000 0.5000  2 Zr 2.15

Properties
Fermi-level density of states ... 1.9 states/eV per cell
M_tot ... 0.00 Bohr magnetons per cell
SG ... P4/mmm

***

*Q*
## SrZrIO2 (PBE)

Data for a relaxed structure of SrZrIO2.

abc: 4.5974 4.5974 6.0170
angles: 90.00 90.00 90.00
Last column: nearest neighbours and their distance in Å.
Positions (direct):
Sr1 0.0000 0.0000 0.0000  4 O 2.30
Zr1 0.5000 0.5000 0.5000  4 I 3.25
I1 0.0000 0.0000 0.5000  2 Sr 3.01, 4 Zr 3.25
O1 0.0000 0.5000 0.0000  2 Sr 2.30
O2 0.5000 0.0000 0.0000  2 Sr 2.30

Properties
Fermi-level density of states ... 5.5 states/eV per cell
M_tot ... 0.98 Bohr magnetons per cell
SG ... P4/mmm

***

*P* takes first place; second place is 1521 meV per atom up.

***

*P*
## TaI2O2 (PBE)

Data for a relaxed structure of TaI2O2.

abc: 5.0162 5.0162 3.5027
angles: 90.00 90.00 90.00
Last column: nearest neighbours and their distance in Å.
Positions (direct):
Ta1 0.0000 0.0000 0.0000  8 I 3.06
I1 0.0000 0.5000 0.5000  2 O 2.51
I2 0.5000 0.0000 0.5000  2 O 2.51
O1 0.5000 0.5000 0.0000  2 O 1.75
O2 0.5000 0.5000 0.5000  2 O 1.75

Properties
Fermi-level density of states ... 3.9 states/eV per cell
M_tot ... 0.00 Bohr magnetons per cell
SG ... P4/mmm

***

*Q*
## TaI2O2 (PBE)

Data for a relaxed structure of TaI2O2.

abc: 4.1430 4.1430 6.0773
angles: 90.00 90.00 90.00
Last column: nearest neighbours and their distance in Å.
Positions (direct):
Ta1 0.0000 0.0000 0.0000  4 O 2.07
I1 0.0000 0.0000 0.5000  4 I 2.93, 2 Ta 3.04
I2 0.5000 0.5000 0.5000  4 I 2.93
O1 0.0000 0.5000 0.0000  2 Ta 2.07
O2 0.5000 0.0000 0.0000  2 Ta 2.07

Properties
Fermi-level density of states ... 2.2 states/eV per cell
M_tot ... 0.00 Bohr magnetons per cell
SG ... P4/mmm

***

*R*
## TaI2O2 (PBE)

Data for a relaxed structure of TaI2O2.

abc: 5.5382 5.5382 3.8795
angles: 90.00 90.00 90.00
Last column: nearest neighbours and their distance in Å.
Positions (direct):
Ta1 0.0000 0.0000 0.0000  2 O 1.94
I1 0.0000 0.5000 0.0000  2 Ta 2.77
I2 0.5000 0.0000 0.0000  2 Ta 2.77
O1 0.0000 0.0000 0.5000  2 Ta 1.94
O2 0.5000 0.5000 0.5000  8 I 3.38

Properties
Fermi-level density of states ... 4.1 states/eV per cell
M_tot ... 1.32 Bohr magnetons per cell
SG ... P4/mmm

***

*Q* takes first place; second place is 584 meV per atom up.

***

*P*
## TaTcIO2 (PBE)

Data for a relaxed structure of TaTcIO2.

abc: 3.9238 3.9238 6.2111
angles: 90.00 90.00 90.00
Last column: nearest neighbours and their distance in Å.
Positions (direct):
Ta1 0.0000 0.0000 0.0000  4 O 1.96
Tc1 0.5000 0.5000 0.5000  4 I 2.77
I1 0.0000 0.0000 0.5000  4 Tc 2.77, 2 Ta 3.11
O1 0.0000 0.5000 0.0000  2 Ta 1.96
O2 0.5000 0.0000 0.0000  2 Ta 1.96

Properties
Fermi-level density of states ... 3.8 states/eV per cell
M_tot ... 2.81 Bohr magnetons per cell
SG ... P4/mmm

***

*Q*
## TaTcIO2 (PBE)

Data for a relaxed structure of TaTcIO2.

abc: 3.8730 3.8730 6.3353
angles: 90.00 90.00 90.00
Last column: nearest neighbours and their distance in Å.
Positions (direct):
Ta1 0.0000 0.0000 0.0000  4 I 2.74
Tc1 0.5000 0.5000 0.5000  4 O 1.94
I1 0.5000 0.5000 0.0000  4 Ta 2.74
O1 0.0000 0.5000 0.5000  2 Tc 1.94
O2 0.5000 0.0000 0.5000  2 Tc 1.94

Properties
Fermi-level density of states ... 5.9 states/eV per cell
M_tot ... 2.72 Bohr magnetons per cell
SG ... P4/mmm

***

*P* takes first place; second place is 886 meV per atom up.